DFT (PBE-GGA) results for crystalline YTm8Pb6 at its relaxed geometry.

Output
SG: R-3 (148)
calculated total energy: -4.60 eV per atom
ΔH_f (0 K): -0.298 eV/atom

a b c (Å): 9.0242 9.0242 8.3702
angles (deg): 57.38 57.38 60.00
Fractional positions:
Y 0.0000 0.0000 0.0000
Tm 0.5616 0.2276 0.3163
Tm 0.7724 0.1055 0.6837
Tm 0.1055 0.4384 0.6837
Tm 0.6666 0.6666 0.0001
Tm 0.3334 0.3334 0.9999
Tm 0.8945 0.5616 0.3163
Tm 0.2276 0.8945 0.3163
Tm 0.4384 0.7724 0.6837
Pb 0.4036 0.0689 0.7930
Pb 0.9311 0.2656 0.2070
Pb 0.2656 0.5964 0.2070
Pb 0.7344 0.4036 0.7930
Pb 0.0689 0.7344 0.7930
Pb 0.5964 0.9311 0.2070


DFT (PBE-GGA) results for crystalline Y3TmPb2 at its relaxed geometry.

Output
SG: P-4m2 (115)
calculated total energy: -5.67 eV per atom
ΔH_f (0 K): -0.452 eV/atom

a b c (Å): 4.5649 4.5649 8.5333
angles (deg): 90.00 90.00 90.00
Fractional positions:
Y 0.5000 0.0000 0.3425
Y 0.0000 0.5000 0.6575
Y 0.0000 0.0000 0.0000
Tm 0.5000 0.5000 0.0000
Pb 0.5000 0.0000 0.7176
Pb 0.0000 0.5000 0.2824


Number 1: D(E_F) 11.26 states/eV per cell. Number 2: D(E_F) 3.99 states/eV per cell.